## NaCrI2O (GGA+U)

Data for crystalline NaCrI2O at its relaxed geometry.

```
NaCrI2O
1.0
5.856 0.000 0.000
0.000 5.856 0.000
0.000 0.000 4.290
I Cr O Na
2 1 1 1
Direct
0.000 0.500 0.000
0.500 0.000 0.000
0.500 0.500 0.500
0.000 0.000 0.500
0.000 0.000 0.000
```

## Properties
* size of the total moment: 3.000 μB/f.u.
* E_tot: -16.52 eV/cell
* space group: P4/mmm